(1)
DFT (PBE) results for Sr2AgSn3Au4 after structural relaxation.

Cell lengths 4.796, 4.796, 11.004 Å; angles 90.00, 90.00, 90.00 degrees
Fractional positions:
Sr  0.000  0.500  0.752
Sn  0.000  0.000  0.500
Au  0.000  0.000  0.000
Sn  0.500  0.000  0.872
Au  0.000  0.500  0.371
Ag  0.500  0.500  0.500
Sn  0.000  0.500  0.128
Au  0.500  0.000  0.629
Sr  0.500  0.000  0.248
Au  0.500  0.500  0.000

Symmetry   P-4m2, No. 115
Crystal system   tetragonal
ΔH_f (0 K)   -502 kJ/mol of formula units

=====

(2)
DFT (PBE) results for Tb6Er2Tm3In after structural relaxation.

Cell lengths 6.069, 6.069, 11.566 Å; angles 95.01, 95.01, 120.02 degrees
Fractional positions:
Tb  0.754  0.754  0.249
Tm  0.500  0.500  0.500
Tb  0.246  0.246  0.751
In  0.000  0.000  0.000
Tb  0.917  0.587  0.752
Er  0.666  0.334  0.000
Tb  0.083  0.413  0.248
Tb  0.413  0.083  0.248
Er  0.334  0.666  0.000
Tm  0.833  0.167  0.500
Tm  0.167  0.833  0.500
Tb  0.587  0.917  0.752

Symmetry   C2/m, No. 12
Crystal system   monoclinic
ΔH_f (0 K)   -45 kJ/mol of formula units

=====

(3)
DFT (PBE) results for Pu4NO3 after structural relaxation.

Cell lengths 4.954, 4.954, 4.954 Å; angles 90.00, 90.00, 90.00 degrees
Fractional positions:
Pu  0.000  0.000  0.500
O  0.500  0.000  0.500
O  0.500  0.500  0.000
O  0.000  0.500  0.500
Pu  0.000  0.500  0.000
Pu  0.500  0.000  0.000
N  0.000  0.000  0.000
Pu  0.500  0.500  0.500

Symmetry   Pm-3m, No. 221
ΔE_f (raw)   -2.153 eV per atom
Crystal system   cubic
Distance to the lowest polymorph of the same formula   22 meV/atom

=====

| no. | total moment (μB/f.u.) |
| --- | --- |
| 1 | 0.00 |
| 2 | 0.00 |
| 3 | 21.15 |